NaZr2Fe2 | GGA-PBE | optimized geometry

Unit cell a=4.4439 b=4.4439 c=5.9523 alpha=68.08 beta=68.08 gamma=90.00
With the nearest neighbours (Å) after each atom.
Fractional positions:
Na: 0.0000 0.0000 0.0000  8 Fe 3.33, 8 Zr 3.37
Fe: 0.3900 0.3900 0.2199  1 Fe 2.22
Fe: 0.6100 0.6100 0.7801  1 Fe 2.22
Zr: 0.7500 0.2500 0.5000  4 Fe 2.63
Zr: 0.2500 0.7500 0.5000  4 Fe 2.63

Output
excess energy over the best structure of this formula in the dataset: 21.6 kJ/mol of atoms
energy of formation: 477 meV/atom

NaLaPrHg | GGA-PBE | optimized geometry

Unit cell a=5.5819 b=5.5819 c=5.5819 alpha=60.00 beta=60.00 gamma=60.00
With the nearest neighbours (Å) after each atom.
Fractional positions:
Pr: 0.7500 0.7500 0.7500  4 Hg 3.42, 4 Na 3.42
Na: 0.0000 0.0000 0.0000  4 La 3.42, 4 Pr 3.42
Hg: 0.5000 0.5000 0.5000  4 Pr 3.42, 4 La 3.42
La: 0.2500 0.2500 0.2500  4 Hg 3.42, 4 Na 3.42

Output
energy of formation: -93 meV/atom